Entry from OQMD: crystalline GaFeCoHg at its relaxed geometry (GGA-PBE).

As for the total DFT energy (no corrections): -4.397 eV/atom.

The space group is F-43m (No. 216) and the conventional cell measures 6.1358, 6.1358 and 6.1358 Å, with angles of 90.00, 90.00 and 90.00 degrees. Symmetry generates all atoms from Ga at (0.0000, 0.0000, 0.0000), Fe at (0.2500, 0.2500, 0.7500), Co at (0.2500, 0.2500, 0.2500) and Hg at (0.0000, 0.0000, 0.5000).


Entry from OQMD: crystalline GaFeCoMo at its relaxed geometry (GGA-PBE).

As for the total DFT energy (no corrections): -7.206 eV/atom.

The space group is F-43m (No. 216) and the conventional cell measures 5.9284, 5.9284 and 5.9284 Å, with angles of 90.00, 90.00 and 90.00 degrees. Symmetry generates all atoms from Ga at (0.0000, 0.0000, 0.0000), Fe at (0.2500, 0.2500, 0.2500), Co at (0.0000, 0.0000, 0.5000) and Mo at (0.2500, 0.2500, 0.7500).


Total magnetic moment values (in μB per formula unit) by entry order: 3.298; 2.583.